(1)
Below is crystalline Zr3HPb at its relaxed geometry, with properties calculated at the PBE-GGA level.

abc: 5.985 5.118 6.340
angles: 90.00 101.02 90.00
Atoms (fractional coordinates):
1 Zr 0.000 0.000 0.000
2 Zr 0.007 0.000 0.476
3 Zr 0.296 0.500 0.350
4 Zr 0.322 0.500 0.850
5 Zr 0.504 0.000 0.163
6 Zr 0.800 0.500 0.676
7 H 0.055 0.242 0.753
8 H 0.055 0.758 0.753
9 Pb 0.514 0.000 0.651
10 Pb 0.792 0.500 0.187

Values from the calculation:
Theoretical density in g/cm³: 8.4
Total magnetization in μB/atom: 0.00
E above lowest polymorph in eV per atom: 0.014
Density of states at the Fermi level in states/eV per atom: 0.77
Energy in eV/atom: -6.82

(2)
Below is crystalline Zr3HPb at its relaxed geometry, with properties calculated at the PBE-GGA level.

abc: 5.059 5.059 8.774
angles: 90.00 90.00 120.00
Atoms (fractional coordinates):
1 Zr 0.000 0.000 0.250
2 Zr 0.000 0.000 0.750
3 Zr 0.333 0.667 0.086
4 Zr 0.333 0.667 0.414
5 Zr 0.667 0.333 0.586
6 Zr 0.667 0.333 0.914
7 H 0.000 0.000 0.000
8 H 0.000 0.000 0.500
9 Pb 0.333 0.667 0.750
10 Pb 0.667 0.333 0.250

Values from the calculation:
Theoretical density in g/cm³: 8.2
Total magnetization in μB/atom: 0.00
E above lowest polymorph in eV per atom: 0.328
Density of states at the Fermi level in states/eV per atom: 0.80
Energy in eV/atom: -6.51

(3)
Below is crystalline Zr3H2Pb2 at its relaxed geometry, with properties calculated at the PBE-GGA level.

abc: 3.262 5.307 7.817
angles: 109.81 94.32 90.09
Atoms (fractional coordinates):
1 Zr 0.000 0.000 0.000
2 Zr 0.381 0.602 0.204
3 Zr 0.619 0.398 0.796
4 H 0.500 0.248 0.000
5 H 0.500 0.752 0.000
6 Pb 0.189 0.807 0.613
7 Pb 0.811 0.193 0.387

Values from the calculation:
Theoretical density in g/cm³: 9.0
Total magnetization in μB/atom: 0.00
Density of states at the Fermi level in states/eV per atom: 0.48
Energy in eV/atom: -5.95